{"formula": "Be2RhAu", "functional": "SCAN", "state": "single point on PBEsol structure", "cell": [[2.8612, 0.0000, 0.0000], [0.0000, 2.8612, 0.0000], [0.0000, 0.0000, 5.5480]], "species": ["Be", "Be", "Rh", "Au"], "fractional_positions": [[0.0000, 0.0000, 0.2177], [0.0000, 0.0000, 0.7823], [0.5000, 0.5000, 0.0000], [0.5000, 0.5000, 0.5000]], "space_group": "No. 123", "dos_at_fermi_per_ev_atom": 0.14, "total_magnetization_mub_per_fu": 0.0, "relative_energy_mev_per_atom": 0}

{"formula": "Cd2AgAu", "functional": "SCAN", "state": "single point on PBEsol structure", "cell": [[4.0949, 0.0000, 0.0000], [0.0000, 4.0949, 0.0000], [0.0000, 0.0000, 8.6090]], "species": ["Cd", "Cd", "Cd", "Cd", "Ag", "Ag", "Au", "Au"], "fractional_positions": [[0.0000, 0.0000, 0.0000], [0.0000, 0.5000, 0.2500], [0.5000, 0.0000, 0.7500], [0.5000, 0.5000, 0.5000], [0.0000, 0.0000, 0.5000], [0.5000, 0.5000, 0.0000], [0.0000, 0.5000, 0.7500], [0.5000, 0.0000, 0.2500]], "space_group": "No. 119", "dos_at_fermi_per_ev_atom": 0.25, "total_magnetization_mub_per_fu": 0.0, "relative_energy_mev_per_atom": 13}